# TaTi2Sn

TaTi2Sn after structural relaxation (PBE-GGA, Alexandria via LeMat-Bulk).

Results
- formation enthalpy at 0 K (meV per atom) = -254
- total magnetization (μB/atom) = 0.00

Cell and atoms, written as POSCAR:
```
TaTi2Sn
1.0
3.4291 0.0000 0.0000
0.0000 3.4291 0.0000
0.0000 0.0000 6.2041
Ta Ti Sn
1 2 1
Direct
0.0000 0.0000 0.0000
0.5000 0.5000 0.2356
0.5000 0.5000 0.7644
0.0000 0.0000 0.5000
```